(1)
## La4SnBiO (PBE-GGA)

Data for crystalline La4SnBiO at its relaxed geometry. Values from VASP.

Cell and atoms, written as Quantum ESPRESSO input:
```
&SYSTEM
  ibrav = 0, nat = 14, ntyp = 4
/
ATOMIC_SPECIES
Bi 208.98 Bi.upf
La 138.91 La.upf
O 16.00 O.upf
Sn 118.71 Sn.upf
CELL_PARAMETERS angstrom
6.7758 0.0000 0.0000
0.0000 6.7324 0.0000
-3.3879 0.0000 9.2454
ATOMIC_POSITIONS angstrom
Bi 0.0000 1.6831 7.2024
Bi 3.3879 5.0493 2.0430
La 1.6940 0.0000 4.6227
La 1.6940 3.3662 4.6227
La 0.0000 5.0493 1.2250
La 3.3879 1.6831 1.4782
La -1.6940 3.3662 4.6227
La 3.3879 1.6831 8.0204
La -1.6940 0.0000 4.6227
La 0.0000 5.0493 7.7672
O 0.0000 5.0493 5.4244
O 3.3879 1.6831 3.8210
Sn 3.3879 5.0493 7.1525
Sn 0.0000 1.6831 2.0929
```

As for the raw total energy: -6.03 eV per atom. The total moment is 1.549 μB per formula unit. As for the density of states at the Fermi level: 6.73 states/eV/f.u. As for the volume: 30.13 A^3/atom.


(2)
## SrLa2BiO (PBE-GGA)

Data for crystalline SrLa2BiO at its relaxed geometry. Values from VASP.

Cell and atoms, written as Quantum ESPRESSO input:
```
&SYSTEM
  ibrav = 0, nat = 5, ntyp = 4
/
ATOMIC_SPECIES
Bi 208.98 Bi.upf
La 138.91 La.upf
Sr 87.62 Sr.upf
O 16.00 O.upf
CELL_PARAMETERS angstrom
-0.7174 0.8214 -4.9276
4.7053 -1.5612 -0.9453
-1.7510 -4.9336 -0.5674
ATOMIC_POSITIONS angstrom
Bi 1.1184 -2.8368 -3.2202
La 2.3526 -0.7806 -0.4726
La -0.3587 0.4107 -2.4638
Sr -0.8755 -2.4668 -0.2837
O 0.0000 0.0000 0.0000
```

As for the raw total energy: -5.52 eV per atom. The total moment is 0.001 μB per formula unit. As for the density of states at the Fermi level: 4.86 states/eV/f.u. As for the volume: 26.82 A^3/atom.


(3)
## Sr2LaBiO6 (PBE-GGA)

Data for crystalline Sr2LaBiO6 at its relaxed geometry. Values from VASP.

Cell and atoms, written as Quantum ESPRESSO input:
```
&SYSTEM
  ibrav = 0, nat = 20, ntyp = 4
/
ATOMIC_SPECIES
O 16.00 O.upf
Bi 208.98 Bi.upf
Sr 87.62 Sr.upf
La 138.91 La.upf
CELL_PARAMETERS angstrom
6.0441 0.0000 -0.0332
0.0000 6.2405 0.0000
0.0051 0.0000 8.6729
ATOMIC_POSITIONS angstrom
O 1.2957 1.1925 3.8706
O 4.9262 4.8887 8.1023
O 1.9016 4.4720 3.7825
O 0.6589 2.8226 6.6332
O 2.3707 5.9429 6.3596
O 4.3203 1.9278 8.1904
O 4.7535 5.0480 4.7691
O 5.3903 3.4178 2.0065
O 1.7289 4.3127 0.4493
O 4.1476 1.7685 4.8573
O 1.1230 1.3517 0.5374
O 3.6784 0.2976 2.2801
Bi 3.0246 0.0000 4.3199
Bi 0.0000 3.1202 0.0000
Sr 2.9353 2.8176 2.1363
Sr 3.1139 3.4228 6.5034
Sr 5.9598 0.3026 6.4562
Sr 0.0893 5.9379 2.1836
La 0.0025 3.1202 4.3365
La 3.0221 0.0000 -0.0166
```

As for the raw total energy: -6.58 eV per atom. The total moment is 0.000 μB per formula unit. As for the density of states at the Fermi level: 0.00 states/eV/f.u. As for the volume: 16.36 A^3/atom.


(4)
## Sr4La2Bi3O2 (PBE-GGA)

Data for crystalline Sr4La2Bi3O2 at its relaxed geometry. Values from VASP.

Cell and atoms, written as Quantum ESPRESSO input:
```
&SYSTEM
  ibrav = 0, nat = 11, ntyp = 4
/
ATOMIC_SPECIES
Sr 87.62 Sr.upf
Bi 208.98 Bi.upf
O 16.00 O.upf
La 138.91 La.upf
CELL_PARAMETERS angstrom
-0.9838 4.8093 1.1083
-4.9042 -0.8259 -0.7693
1.4603 -5.2909 12.8295
ATOMIC_POSITIONS angstrom
Sr -1.7243 -0.3359 11.3519
Sr -2.7033 -0.9716 1.8166
Sr -0.7431 1.8459 2.7555
Sr -3.6845 -3.1535 10.4130
Bi -0.5330 -1.1853 4.6701
Bi 0.0000 0.0000 0.0000
Bi -3.8946 -0.1222 8.4984
O -1.1637 -2.5879 10.1963
O -3.2639 1.2803 2.9723
La -0.9123 -2.0287 7.9932
La -3.5153 0.7212 5.1753
```

As for the raw total energy: -5.08 eV per atom. The total moment is 0.000 μB per formula unit. As for the density of states at the Fermi level: 4.43 states/eV/f.u. As for the volume: 31.06 A^3/atom.


(5)
## Sr2LaBiO (PBE-GGA)

Data for crystalline Sr2LaBiO at its relaxed geometry. Values from VASP.

Cell and atoms, written as Quantum ESPRESSO input:
```
&SYSTEM
  ibrav = 0, nat = 5, ntyp = 4
/
ATOMIC_SPECIES
La 138.91 La.upf
O 16.00 O.upf
Sr 87.62 Sr.upf
Bi 208.98 Bi.upf
CELL_PARAMETERS angstrom
-5.1956 -0.3054 0.0770
0.2276 -2.7611 4.4066
-0.2117 4.2810 2.6933
ATOMIC_POSITIONS angstrom
La -0.1058 2.1405 1.3467
O 0.0000 0.0000 0.0000
Sr -2.5978 -0.1527 0.0385
Sr 0.1138 -1.3805 2.2033
Bi -2.5898 0.6072 3.5885
```

As for the raw total energy: -4.84 eV per atom. The total moment is 0.002 μB per formula unit. As for the density of states at the Fermi level: 3.83 states/eV/f.u. As for the volume: 27.43 A^3/atom.


(6)
## LaTaBi2O7 (PBE-GGA)

Data for crystalline LaTaBi2O7 at its relaxed geometry. Values from VASP.

Cell and atoms, written as Quantum ESPRESSO input:
```
&SYSTEM
  ibrav = 0, nat = 22, ntyp = 4
/
ATOMIC_SPECIES
O 16.00 O.upf
Bi 208.98 Bi.upf
Ta 180.95 Ta.upf
La 138.91 La.upf
CELL_PARAMETERS angstrom
7.8205 0.0065 0.0030
0.0519 7.8203 -0.0030
-3.9013 -3.9486 5.5090
ATOMIC_POSITIONS angstrom
O 0.0067 5.8157 1.3750
O -1.6446 3.6032 3.8546
O 5.6158 0.2751 1.6544
O -0.1794 2.1294 1.7588
O 4.1399 5.6575 0.9942
O 3.9645 -1.9375 4.1340
O 1.7039 0.2352 4.4074
O 1.9561 3.8345 4.1310
O 4.1506 1.7488 3.7502
O -1.1358 0.7605 4.1310
O 2.0151 0.0438 1.3780
O 5.1070 3.1177 1.3780
O -0.1687 -1.7793 4.5148
O 2.2673 3.6431 1.1016
Bi 3.9103 0.0032 0.0015
Bi 1.9596 -1.9710 2.7560
Bi 1.9856 1.9391 2.7545
Bi 0.0000 0.0000 0.0000
Ta 3.9362 3.9134 0.0000
Ta -1.9247 1.9359 2.7530
La 0.0260 3.9102 -0.0015
La -1.9506 -1.9743 2.7545
```

As for the raw total energy: -7.66 eV per atom. The total moment is 0.000 μB per formula unit. As for the density of states at the Fermi level: 0.00 states/eV/f.u. As for the volume: 15.31 A^3/atom.


(7)
## LaTcBi2O8 (PBE-GGA)

Data for crystalline LaTcBi2O8 at its relaxed geometry. Values from VASP.

Cell and atoms, written as Quantum ESPRESSO input:
```
&SYSTEM
  ibrav = 0, nat = 12, ntyp = 4
/
ATOMIC_SPECIES
Bi 208.98 Bi.upf
La 138.91 La.upf
O 16.00 O.upf
Tc 98.00 Tc.upf
CELL_PARAMETERS angstrom
-1.2626 -4.5848 -2.2430
5.0555 -1.1681 -0.8656
0.3362 -3.0989 6.1463
ATOMIC_POSITIONS angstrom
Bi 2.1496 -5.2102 3.0744
Bi 1.9795 -3.6416 -0.0367
La 0.1681 -1.5494 3.0732
O 1.3741 -3.3791 2.0842
O 2.7550 -5.4727 0.9535
O 0.1507 -6.4189 2.8724
O -0.0456 -4.6108 -0.7130
O 3.9784 -2.4329 0.1654
O 3.2041 -7.4446 3.7976
O 4.1747 -4.2410 3.7508
O 0.9250 -1.4072 -0.7598
Tc 0.0000 0.0000 0.0000
```

As for the raw total energy: -6.90 eV per atom. The total moment is 0.000 μB per formula unit. As for the volume: 15.88 A^3/atom.


(8)
## LaBi2TeO4 (PBE-GGA)

Data for crystalline LaBi2TeO4 at its relaxed geometry. Values from VASP.

Cell and atoms, written as Quantum ESPRESSO input:
```
&SYSTEM
  ibrav = 0, nat = 8, ntyp = 4
/
ATOMIC_SPECIES
O 16.00 O.upf
Te 127.60 Te.upf
Bi 208.98 Bi.upf
La 138.91 La.upf
CELL_PARAMETERS angstrom
3.9820 0.0000 0.0000
0.0000 3.9820 0.0000
0.0000 0.0000 10.2786
ATOMIC_POSITIONS angstrom
O 1.9910 0.0000 1.5188
O 0.0000 1.9910 1.5188
O 0.0000 1.9910 8.7598
O 1.9910 0.0000 8.7598
Te 0.0000 0.0000 5.1393
Bi 1.9910 1.9910 2.6074
Bi 1.9910 1.9910 7.6712
La 0.0000 0.0000 0.0000
```

As for the raw total energy: -6.20 eV per atom. The total moment is 0.000 μB per formula unit. As for the density of states at the Fermi level: 1.85 states/eV/f.u. As for the volume: 20.37 A^3/atom.